AlSnRh | the Alexandria database | PBE | optimized geometry; calculated formation energy = -0.53 eV/atom; DOS(E_F) = 6.9 states/eV per cell; calculated volume = 17.57 Å³ per atom; energy = -5.560 eV/atom; space-group type = No. 11
1.0
-2.213 2.150 2.081
-2.292 -5.702 3.453
8.880 1.360 8.037
Sn Rh Al
6 6 6
Direct
0.750 0.560 0.390 Sn
0.250 0.952 0.729 Sn
0.750 0.048 0.271 Sn
0.750 0.634 0.090 Sn
0.250 0.440 0.610 Sn
0.250 0.366 0.910 Sn
0.250 0.754 0.928 Rh
0.750 0.249 0.750 Rh
0.750 0.770 0.594 Rh
0.750 0.246 0.072 Rh
0.250 0.230 0.406 Rh
0.250 0.751 0.250 Rh
0.250 0.998 0.084 Al
0.250 0.872 0.460 Al
0.750 0.626 0.795 Al
0.750 0.128 0.540 Al
0.250 0.374 0.205 Al
0.750 0.002 0.916 Al

***

AlSnRh3 | the Alexandria database | PBE | optimized geometry; calculated formation energy = 0.15 eV/atom; DOS(E_F) = 0.7 states/eV per cell; calculated volume = 17.77 Å³ per atom; energy = -5.812 eV/atom; space-group type = No. 221
1.0
4.463 0.000 0.000
0.000 4.463 0.000
0.000 0.000 4.463
Rh Sn Al
3 1 1
Direct
0.000 0.500 0.000 Rh
0.000 0.000 0.500 Rh
0.500 0.000 0.000 Rh
0.500 0.500 0.500 Sn
0.000 0.000 0.000 Al

***

Sr2Al2SnRh5 | the Alexandria database | PBE | optimized geometry; calculated formation energy = -0.59 eV/atom; DOS(E_F) = 7.9 states/eV per cell; calculated volume = 18.26 Å³ per atom; energy = -5.747 eV/atom; space-group type = No. 127
1.0
3.269 0.000 0.000
0.000 10.571 0.000
0.000 0.000 10.571
Sr Al Sn Rh
4 4 2 10
Direct
0.000 0.676 0.176 Sr
0.000 0.324 0.824 Sr
0.000 0.176 0.324 Sr
0.000 0.824 0.676 Sr
0.000 0.124 0.624 Al
0.000 0.876 0.376 Al
0.000 0.624 0.876 Al
0.000 0.376 0.124 Al
0.000 0.000 0.000 Sn
0.000 0.500 0.500 Sn
0.500 0.206 0.064 Rh
0.500 0.794 0.936 Rh
0.500 0.064 0.794 Rh
0.500 0.706 0.436 Rh
0.500 0.936 0.206 Rh
0.500 0.294 0.564 Rh
0.500 0.564 0.706 Rh
0.500 0.436 0.294 Rh
0.500 0.500 0.000 Rh
0.500 0.000 0.500 Rh

***

Tb2Al2SnRh5 | the Alexandria database | PBE | optimized geometry; calculated formation energy = -0.88 eV/atom; DOS(E_F) = 5.9 states/eV per cell; calculated volume = 17.39 Å³ per atom; energy = -6.631 eV/atom; space-group type = No. 127
1.0
-1.478 0.332 -3.196
2.217 -9.454 -2.008
-8.732 -2.843 3.741
Tb Al Sn Rh
4 4 2 10
Direct
0.000 0.676 0.176 Tb
0.000 0.324 0.824 Tb
0.000 0.176 0.324 Tb
0.000 0.824 0.676 Tb
0.000 0.121 0.621 Al
0.000 0.879 0.379 Al
0.000 0.621 0.879 Al
0.000 0.379 0.121 Al
0.000 0.000 0.000 Sn
0.000 0.500 0.500 Sn
0.500 0.209 0.069 Rh
0.500 0.791 0.931 Rh
0.500 0.069 0.791 Rh
0.500 0.709 0.431 Rh
0.500 0.931 0.209 Rh
0.500 0.291 0.569 Rh
0.500 0.569 0.709 Rh
0.500 0.431 0.291 Rh
0.500 0.500 0.000 Rh
0.500 0.000 0.500 Rh

***

AlSn2RhW | the Alexandria database | PBE | optimized geometry; calculated formation energy = 0.90 eV/atom; DOS(E_F) = 3.4 states/eV per cell; calculated volume = 26.41 Å³ per atom; energy = -5.510 eV/atom; space-group type = No. 123
1.0
5.262 0.000 0.000
0.000 5.262 0.000
0.000 0.000 4.769
Rh Sn W Al
1 2 1 1
Direct
0.000 0.000 0.500 Rh
0.000 0.500 0.000 Sn
0.500 0.000 0.000 Sn
0.000 0.000 0.000 W
0.500 0.500 0.500 Al

***

Y2AlSn2Rh5 | the Alexandria database | PBE | optimized geometry; calculated formation energy = -0.61 eV/atom; DOS(E_F) = 8.5 states/eV per cell; calculated volume = 18.67 Å³ per atom; energy = -6.756 eV/atom; space-group type = No. 127
1.0
3.593 0.000 0.000
0.000 10.195 0.000
0.000 0.000 10.195
Y Al Sn Rh
4 2 4 10
Direct
0.000 0.669 0.169 Y
0.000 0.331 0.831 Y
0.000 0.169 0.331 Y
0.000 0.831 0.669 Y
0.000 0.000 0.000 Al
0.000 0.500 0.500 Al
0.000 0.132 0.632 Sn
0.000 0.868 0.368 Sn
0.000 0.632 0.868 Sn
0.000 0.368 0.132 Sn
0.500 0.193 0.055 Rh
0.500 0.807 0.945 Rh
0.500 0.055 0.807 Rh
0.500 0.693 0.445 Rh
0.500 0.945 0.193 Rh
0.500 0.307 0.555 Rh
0.500 0.555 0.693 Rh
0.500 0.445 0.307 Rh
0.500 0.500 0.000 Rh
0.500 0.000 0.500 Rh

***

Y2Al2SnRh5 | the Alexandria database | PBE | optimized geometry; calculated formation energy = -0.88 eV/atom; DOS(E_F) = 5.9 states/eV per cell; calculated volume = 17.36 Å³ per atom; energy = -7.000 eV/atom; space-group type = No. 127
1.0
-2.131 -2.742 -0.651
5.060 -5.482 6.526
-6.075 3.003 7.233
Y Al Sn Rh
4 4 2 10
Direct
0.000 0.676 0.176 Y
0.000 0.324 0.824 Y
0.000 0.176 0.324 Y
0.000 0.824 0.676 Y
0.000 0.121 0.621 Al
0.000 0.879 0.379 Al
0.000 0.621 0.879 Al
0.000 0.379 0.121 Al
0.000 0.000 0.000 Sn
0.000 0.500 0.500 Sn
0.500 0.209 0.069 Rh
0.500 0.791 0.931 Rh
0.500 0.069 0.791 Rh
0.500 0.709 0.431 Rh
0.500 0.931 0.209 Rh
0.500 0.291 0.569 Rh
0.500 0.569 0.709 Rh
0.500 0.431 0.291 Rh
0.500 0.500 0.000 Rh
0.500 0.000 0.500 Rh

***

Al2ZnSn2Rh5 | the Alexandria database | PBE | optimized geometry; calculated formation energy = -0.42 eV/atom; DOS(E_F) = 7.5 states/eV per cell; calculated volume = 15.95 Å³ per atom; energy = -5.774 eV/atom; space-group type = No. 127
1.0
3.449 0.000 0.000
0.000 9.616 0.000
0.000 0.000 9.616
Al Zn Sn Rh
4 2 4 10
Direct
0.000 0.130 0.630 Al
0.000 0.870 0.370 Al
0.000 0.630 0.870 Al
0.000 0.370 0.130 Al
0.000 0.000 0.000 Zn
0.000 0.500 0.500 Zn
0.000 0.670 0.170 Sn
0.000 0.330 0.830 Sn
0.000 0.170 0.330 Sn
0.000 0.830 0.670 Sn
0.500 0.191 0.092 Rh
0.500 0.809 0.908 Rh
0.500 0.092 0.809 Rh
0.500 0.691 0.408 Rh
0.500 0.908 0.191 Rh
0.500 0.309 0.592 Rh
0.500 0.592 0.691 Rh
0.500 0.408 0.309 Rh
0.500 0.500 0.000 Rh
0.500 0.000 0.500 Rh

***

SrAl9Rh2 | the Alexandria database | PBE | optimized geometry; calculated formation energy = -0.52 eV/atom; DOS(E_F) = 10.5 states/eV per cell; calculated volume = 17.15 Å³ per atom; energy = -4.688 eV/atom; space-group type = No. 141
1.0
6.346 0.000 2.922
3.173 7.674 1.461
-0.036 0.000 8.432
Sr Al Rh
2 18 4
Direct
0.500 0.000 0.000 Sr
0.250 0.500 0.500 Sr
0.750 0.500 0.500 Al
0.000 0.000 0.000 Al
0.012 0.922 0.677 Al
0.611 0.078 0.323 Al
0.684 0.177 0.578 Al
0.439 0.823 0.422 Al
0.738 0.823 0.578 Al
0.139 0.177 0.422 Al
0.066 0.922 0.323 Al
0.311 0.078 0.677 Al
0.738 0.578 0.823 Al
0.139 0.422 0.177 Al
0.066 0.323 0.922 Al
0.311 0.677 0.078 Al
0.012 0.677 0.922 Al
0.611 0.323 0.078 Al
0.684 0.578 0.177 Al
0.439 0.422 0.823 Al
0.875 0.250 0.750 Rh
0.875 0.750 0.250 Rh
0.875 0.250 0.250 Rh
0.375 0.750 0.750 Rh

***

SrAl2Rh | the Alexandria database | PBE | optimized geometry; calculated formation energy = 0.12 eV/atom; DOS(E_F) = 2.1 states/eV per cell; calculated volume = 20.18 Å³ per atom; energy = -4.007 eV/atom; space-group type = No. 12
1.0
-5.550 2.376 0.259
0.826 -3.860 -3.774
-2.049 -1.957 1.223
Sr Rh Al
1 1 2
Direct
0.500 0.500 0.000 Sr
0.000 0.500 0.500 Rh
0.000 0.000 0.000 Al
0.500 0.000 0.500 Al

***

SrAl2Rh | the Alexandria database | PBE | optimized geometry; calculated formation energy = -0.29 eV/atom; DOS(E_F) = 4.5 states/eV per cell; calculated volume = 27.77 Å³ per atom; energy = -4.424 eV/atom; space-group type = No. 141
1.0
5.345 0.000 0.000
0.000 5.345 0.000
2.672 2.672 7.778
Sr Rh Al
2 2 4
Direct
0.500 0.500 0.000 Sr
0.250 0.750 0.500 Sr
0.000 0.000 0.000 Rh
0.750 0.250 0.500 Rh
0.875 0.125 0.250 Al
0.875 0.625 0.250 Al
0.375 0.125 0.750 Al
0.875 0.125 0.750 Al

***

SrAlRh2 | the Alexandria database | PBE | optimized geometry; calculated formation energy = -0.14 eV/atom; DOS(E_F) = 3.7 states/eV per cell; calculated volume = 19.80 Å³ per atom; energy = -5.176 eV/atom; space-group type = No. 99
1.0
3.396 0.000 0.000
0.000 3.396 0.000
0.000 0.000 6.866
Sr Rh Al
1 2 1
Direct
0.000 0.000 0.478 Sr
0.000 0.000 0.957 Rh
0.500 0.500 0.213 Rh
0.500 0.500 0.853 Al

***

Which value of calculated formation energy does entry 3 give?
-0.59 eV/atom

***

Please write out number 8 again, unchanged.
Al2ZnSn2Rh5 | the Alexandria database | PBE | optimized geometry; calculated formation energy = -0.42 eV/atom; DOS(E_F) = 7.5 states/eV per cell; calculated volume = 15.95 Å³ per atom; energy = -5.774 eV/atom; space-group type = No. 127
1.0
3.449 0.000 0.000
0.000 9.616 0.000
0.000 0.000 9.616
Al Zn Sn Rh
4 2 4 10
Direct
0.000 0.130 0.630 Al
0.000 0.870 0.370 Al
0.000 0.630 0.870 Al
0.000 0.370 0.130 Al
0.000 0.000 0.000 Zn
0.000 0.500 0.500 Zn
0.000 0.670 0.170 Sn
0.000 0.330 0.830 Sn
0.000 0.170 0.330 Sn
0.000 0.830 0.670 Sn
0.500 0.191 0.092 Rh
0.500 0.809 0.908 Rh
0.500 0.092 0.809 Rh
0.500 0.691 0.408 Rh
0.500 0.908 0.191 Rh
0.500 0.309 0.592 Rh
0.500 0.592 0.691 Rh
0.500 0.408 0.309 Rh
0.500 0.500 0.000 Rh
0.500 0.000 0.500 Rh